Here is a geometry-optimized NdSc2GeN4 structure from Alexandria via LeMat-Bulk. Energies are from PBE-GGA.

Structure (POSCAR):
```
NdSc2GeN4
1.0
3.3502 0.0000 0.0000
-1.6751 5.5720 0.0000
0.0000 0.0000 11.1053
N Sc Ge Nd
8 4 2 2
direct
0.4225 0.8450 0.7500
0.0000 0.0000 0.0000
0.0000 0.0000 0.5000
0.2658 0.5315 0.3812
0.7342 0.4685 0.8812
0.5775 0.1550 0.2500
0.2658 0.5315 0.1188
0.7342 0.4685 0.6188
0.6295 0.2589 0.0382
0.3705 0.7411 0.9618
0.3705 0.7411 0.5382
0.6295 0.2589 0.4618
0.8359 0.6718 0.7500
0.1641 0.3282 0.2500
0.9021 0.8041 0.2500
0.0979 0.1959 0.7500
```

Its space group is Cmcm (63). As for the electronic total energy: -128.69 eV for the cell shown. For the density of states at the Fermi level, the calculation gives 0.1714 states/eV/atom.



Here is a geometry-optimized TbNd2GeN4 structure from Alexandria via LeMat-Bulk. Energies are from PBE-GGA.

Structure (POSCAR):
```
TbNd2GeN4
1.0
3.5779 0.0000 0.0000
-1.7889 5.8015 0.0000
0.0000 0.0000 12.1561
N Nd Tb Ge
8 4 2 2
direct
0.2773 0.5546 0.1361
0.7227 0.4454 0.6361
0.4253 0.8505 0.7500
0.0000 0.0000 0.5000
0.5747 0.1495 0.2500
0.7227 0.4454 0.8639
0.0000 0.0000 0.0000
0.2773 0.5546 0.3639
0.3692 0.7383 0.9551
0.6308 0.2617 0.4551
0.6308 0.2617 0.0449
0.3692 0.7383 0.5449
0.1061 0.2122 0.7500
0.8939 0.7878 0.2500
0.8361 0.6722 0.7500
0.1639 0.3278 0.2500
```

Its space group is Cmcm (63). As for the electronic total energy: -118.06 eV for the cell shown. For the density of states at the Fermi level, the calculation gives 0.1484 states/eV/atom.